# 1
Compound: ReBPO2
Source: the Alexandria database
Functional: PBE
Structure: optimized geometry

Summary:
polymorph energy (0 for the lowest one)	0.0	meV/atom
Fermi-level density of states	1.26	states/eV/cell
uncorrected energy	-34.38	eV per cell
crystal system	tetragonal
formation energy without anion corrections	0.01	eV per atom
ρ	6.1	g/cm3
size of the total moment	0.00	μB per formula unit

a = 3.704 Å, b = 3.704 Å, c = 5.134 Å
α = 90.00°, β = 90.00°, γ = 90.00°
Space group P4/mmm (No. 123)
Asymmetric unit:
Re: 0.000 0.000 0.000
B: 0.500 0.500 0.500
P: 0.000 0.000 0.500
O: 0.000 0.500 0.000



# 2
Compound: Sm3Mg4Rh4
Source: the Alexandria database
Functional: PBE
Structure: optimized geometry

Summary:
Fermi-level density of states	10.17	states/eV/cell
uncorrected energy	-111.85	eV per cell
energy of formation	-5.98	eV per formula unit
crystal system	orthorhombic
ρ	6.9	g/cm3
size of the total moment	0.00	μB per formula unit

a = 3.905 Å, b = 7.996 Å, c = 14.750 Å
α = 90.00°, β = 90.00°, γ = 90.00°
Space group Immm (No. 71)
Asymmetric unit:
Sm: 0.000 0.000 0.000
Sm: 0.000 0.500 0.113
Mg: 0.000 0.311 0.327
Rh: 0.000 0.000 0.240
Rh: 0.000 0.201 0.500



# 3
Compound: NbNiP2
Source: the Alexandria database
Functional: PBE
Structure: optimized geometry

Summary:
Fermi-level density of states	11.56	states/eV/cell
uncorrected energy	-83.11	eV per cell
energy of formation	-1.03	eV per formula unit
crystal system	trigonal
ρ	6.0	g/cm3
size of the total moment	0.00	μB per formula unit

a = 3.4806 Å, b = 3.4806 Å, c = 16.8994 Å
α = 90.00°, β = 90.00°, γ = 120.00°
Space group R-3m (No. 166, hexagonal axes)
Asymmetric unit:
Nb: 0.0000 0.0000 0.0000
Ni: 0.0000 0.0000 0.5000
P: 0.0000 0.0000 0.2395



# 4
Compound: Cr2CdW
Source: the Alexandria database
Functional: PBE
Structure: optimized geometry

Summary:
Fermi-level density of states	7.66	states/eV/cell
uncorrected energy	-60.89	eV per cell
energy of formation	2.67	eV per formula unit
crystal system	orthorhombic
ρ	11.2	g/cm3
size of the total moment	0.00	μB per formula unit

a = 5.643 Å, b = 7.719 Å, c = 2.724 Å
α = 90.00°, β = 90.00°, γ = 90.00°
Space group Cmmm (No. 65)
Asymmetric unit:
Cr: 0.250 0.250 0.000
Cd: 0.000 0.000 0.500
W: 0.000 0.500 0.500



# 5
Compound: K2BrO2F4
Source: the Alexandria database
Functional: PBE
Structure: optimized geometry

Summary:
Fermi-level density of states	1.12	states/eV/cell
uncorrected energy	-65.69	eV per cell
crystal system	monoclinic
formation energy without anion corrections	-1.29	eV per atom
ρ	3.0	g/cm3
size of the total moment	1.00	μB per formula unit

a = 10.016 Å, b = 5.965 Å, c = 4.860 Å
α = 90.00°, β = 91.41°, γ = 90.00°
Space group C2/m (No. 12)
Asymmetric unit:
K: 0.162 0.000 0.220
Br: 0.000 0.500 0.500
O: 0.137 0.500 0.293
F: 0.088 0.250 0.726



# 6
Compound: NdYSb
Source: the Alexandria database
Functional: PBE
Structure: optimized geometry

Summary:
Fermi-level density of states	8.13	states/eV/cell
uncorrected energy	-69.28	eV per cell
crystal system	monoclinic
formation energy without anion corrections	-0.66	eV per atom
ρ	6.5	g/cm3
size of the total moment	0.00	μB per formula unit

a = 11.996 Å, b = 4.385 Å, c = 7.549 Å
α = 90.00°, β = 114.17°, γ = 90.00°
Space group C2/m (No. 12)
Asymmetric unit:
Nd: 0.170 0.000 0.093
Y: 0.024 0.500 0.298
Sb: 0.160 0.000 0.624



# 7
Compound: Ba3LaPd
Source: the Alexandria database
Functional: PBE
Structure: optimized geometry

Summary:
polymorph energy (0 for the lowest one)	0.0	meV/atom
Fermi-level density of states	8.15	states/eV/cell
uncorrected energy	-15.77	eV per cell
energy of formation	0.12	eV per formula unit
crystal system	cubic
ρ	4.8	g/cm3
size of the total moment	0.99	μB per formula unit

a = 6.087 Å, b = 6.087 Å, c = 6.087 Å
α = 90.00°, β = 90.00°, γ = 90.00°
Space group Pm-3m (No. 221)
Asymmetric unit:
Ba: 0.000 0.000 0.500
La: 0.500 0.500 0.500
Pd: 0.000 0.000 0.000



# 8
Compound: BaLaMo2
Source: the Alexandria database
Functional: PBE
Structure: optimized geometry

Summary:
polymorph energy (0 for the lowest one)	739.5	meV/atom
Fermi-level density of states	10.04	states/eV/cell
uncorrected energy	-47.23	eV per cell
energy of formation	4.90	eV per formula unit
crystal system	orthorhombic
ρ	8.4	g/cm3
size of the total moment	0.00	μB per formula unit

a = 3.393 Å, b = 5.559 Å, c = 9.850 Å
α = 90.00°, β = 90.00°, γ = 90.00°
Space group Immm (No. 71)
Asymmetric unit:
Ba: 0.000 0.000 0.000
La: 0.000 0.000 0.500
Mo: 0.000 0.500 0.236



# 9
Compound: Zr2TaCr2
Source: the Alexandria database
Functional: PBE
Structure: optimized geometry

Summary:
polymorph energy (0 for the lowest one)	370.0	meV/atom
Fermi-level density of states	12.53	states/eV/cell
uncorrected energy	-90.16	eV per cell
energy of formation	3.12	eV per formula unit
crystal system	tetragonal
ρ	8.4	g/cm3
size of the total moment	0.00	μB per formula unit

a = 3.974 Å, b = 3.974 Å, c = 11.680 Å
α = 90.00°, β = 90.00°, γ = 90.00°
Space group I4/mmm (No. 139)
Asymmetric unit:
Zr: 0.000 0.500 0.250
Ta: 0.000 0.000 0.000
Cr: 0.000 0.000 0.422



# 10
Compound: Cd2Co2Mo
Source: the Alexandria database
Functional: PBE
Structure: optimized geometry

Summary:
Fermi-level density of states	11.27	states/eV/cell
uncorrected energy	-49.85	eV per cell
energy of formation	1.95	eV per formula unit
crystal system	tetragonal
ρ	9.1	g/cm3
size of the total moment	0.25	μB per formula unit

a = 6.105 Å, b = 6.105 Å, c = 4.289 Å
α = 90.00°, β = 90.00°, γ = 90.00°
Space group P4/mbm (No. 127)
Asymmetric unit:
Cd: 0.177 0.323 0.000
Co: 0.130 0.630 0.500
Mo: 0.000 0.000 0.500



# 11
Compound: Nb2Co2Ag
Source: the Alexandria database
Functional: PBE
Structure: optimized geometry

Summary:
polymorph energy (0 for the lowest one)	0.0	meV/atom
Fermi-level density of states	8.94	states/eV/cell
uncorrected energy	-74.60	eV per cell
energy of formation	-0.10	eV per formula unit
crystal system	tetragonal
ρ	9.1	g/cm3
size of the total moment	0.00	μB per formula unit

a = 7.103 Å, b = 7.103 Å, c = 2.978 Å
α = 90.00°, β = 90.00°, γ = 90.00°
Space group P4/mbm (No. 127)
Asymmetric unit:
Nb: 0.166 0.334 0.000
Co: 0.130 0.630 0.500
Ag: 0.000 0.000 0.500



# 12
Compound: KLaMg2Cl8
Source: the Alexandria database
Functional: PBE
Structure: optimized geometry

Summary:
Fermi-level density of states	0.00	states/eV/cell
uncorrected energy	-48.01	eV per cell
crystal system	triclinic
formation energy without anion corrections	-2.00	eV per atom
ρ	2.3	g/cm3
size of the total moment	0.00	μB per formula unit

a = 6.525 Å, b = 6.551 Å, c = 9.068 Å
α = 79.99°, β = 80.73°, γ = 80.06°
Space group P-1 (No. 2)
Asymmetric unit:
K: 0.000 0.000 0.000
La: 0.000 0.000 0.500
Mg: 0.462 0.455 0.205
Cl: 0.192 0.738 0.738
Cl: 0.226 0.774 0.273
Cl: 0.304 0.261 0.444
Cl: 0.350 0.313 0.009



Which of these has the highest Fermi-level density of states?
Zr2TaCr2



Copy entry 12 word for word.
Compound: KLaMg2Cl8
Source: the Alexandria database
Functional: PBE
Structure: optimized geometry

Summary:
Fermi-level density of states	0.00	states/eV/cell
uncorrected energy	-48.01	eV per cell
crystal system	triclinic
formation energy without anion corrections	-2.00	eV per atom
ρ	2.3	g/cm3
size of the total moment	0.00	μB per formula unit

a = 6.525 Å, b = 6.551 Å, c = 9.068 Å
α = 79.99°, β = 80.73°, γ = 80.06°
Space group P-1 (No. 2)
Asymmetric unit:
K: 0.000 0.000 0.000
La: 0.000 0.000 0.500
Mg: 0.462 0.455 0.205
Cl: 0.192 0.738 0.738
Cl: 0.226 0.774 0.273
Cl: 0.304 0.261 0.444
Cl: 0.350 0.313 0.009



The highest size of the total moment belongs to which entry?
K2BrO2F4



Which value of Fermi-level density of states does entry 1 give?
1.26 states/eV/cell